# Pr2TmAl PBE-GGA optimized geometry
# **Crystal system**: tetragonal
# **D(E_F)**: 5.09 states/eV/cell
# **E_form**: -0.158 eV per atom
# **Polymorph energy (0 for the lowest one)**: 0.13 kcal/mol of atoms
# **Energy**: -4.60 eV per atom
data_Pr2TmAl
_chemical_formula_sum 'Pr2 Tm1 Al1'
_cell_length_a 4.886
_cell_length_b 4.865
_cell_length_c 4.865
_cell_angle_alpha 90.00
_cell_angle_beta 90.00
_cell_angle_gamma 90.00
_space_group_name_H-M_alt 'P 1'
_space_group_IT_number 1
loop_
_space_group_symop_operation_xyz
'x,y,z'
loop_
_atom_site_label
_atom_site_fract_x
_atom_site_fract_y
_atom_site_fract_z
Al1 0.500 0.000 0.000
Pr1 0.000 0.500 0.000
Pr2 0.000 0.000 0.500
Tm1 0.500 0.500 0.500

***

# ScBeAs2 PBE-GGA optimized geometry
# **Crystal system**: monoclinic
# **D(E_F)**: 1.16 states/eV/cell
# **E_form**: -0.463 eV per atom
# **Energy**: -5.30 eV per atom
data_ScBeAs2
_chemical_formula_sum 'Sc1 Be1 As2'
_cell_length_a 3.933
_cell_length_b 3.455
_cell_length_c 5.772
_cell_angle_alpha 76.85
_cell_angle_beta 90.00
_cell_angle_gamma 90.00
_space_group_name_H-M_alt 'P 1'
_space_group_IT_number 1
loop_
_space_group_symop_operation_xyz
'x,y,z'
loop_
_atom_site_label
_atom_site_fract_x
_atom_site_fract_y
_atom_site_fract_z
As1 0.500 0.451 0.321
As2 0.000 0.097 0.894
Sc1 0.500 0.645 0.786
Be1 0.000 0.307 0.498

***

# CrP3I PBE-GGA optimized geometry
# **Crystal system**: cubic
# **D(E_F)**: 2.96 states/eV/cell
# **Formation energy without anion corrections**: 2.3 eV per formula unit
# **Energy**: -5.03 eV per atom
data_CrP3I
_chemical_formula_sum 'Cr1 P3 I1'
_cell_length_a 4.543
_cell_length_b 4.543
_cell_length_c 4.543
_cell_angle_alpha 90.00
_cell_angle_beta 90.00
_cell_angle_gamma 90.00
_space_group_name_H-M_alt 'P 1'
_space_group_IT_number 1
loop_
_space_group_symop_operation_xyz
'x,y,z'
loop_
_atom_site_label
_atom_site_fract_x
_atom_site_fract_y
_atom_site_fract_z
P1 0.000 0.000 0.500
P2 0.500 0.000 0.000
P3 0.000 0.500 0.000
Cr1 0.000 0.000 0.000
I1 0.500 0.500 0.500

***

# Zr3Zn4In2 PBE-GGA optimized geometry
# **Crystal system**: monoclinic
# **D(E_F)**: 4.58 states/eV/cell
# **E_form**: -0.274 eV per atom
# **Energy**: -4.30 eV per atom
data_Zr3Zn4In2
_chemical_formula_sum 'Zr3 Zn4 In2'
_cell_length_a 4.501
_cell_length_b 5.573
_cell_length_c 8.449
_cell_angle_alpha 115.19
_cell_angle_beta 90.00
_cell_angle_gamma 113.82
_space_group_name_H-M_alt 'P 1'
_space_group_IT_number 1
loop_
_space_group_symop_operation_xyz
'x,y,z'
loop_
_atom_site_label
_atom_site_fract_x
_atom_site_fract_y
_atom_site_fract_z
Zn1 0.269 0.537 0.947
Zn2 0.952 0.904 0.610
Zn3 0.731 0.463 0.053
Zn4 0.048 0.096 0.390
Zr1 0.000 0.000 0.000
Zr2 0.337 0.674 0.328
Zr3 0.663 0.326 0.672
In1 0.383 0.765 0.720
In2 0.617 0.235 0.280

***

# Sm5DyYEr2 PBE-GGA optimized geometry
# **Crystal system**: orthorhombic
# **D(E_F)**: 29.79 states/eV/cell
# **E_form**: 0.155 eV per atom
# **Energy**: -4.71 eV per atom
data_Sm5DyYEr2
_chemical_formula_sum 'Sm10 Dy2 Y2 Er4'
_cell_length_a 5.629
_cell_length_b 10.509
_cell_length_c 10.599
_cell_angle_alpha 90.00
_cell_angle_beta 90.00
_cell_angle_gamma 105.53
_space_group_name_H-M_alt 'P 1'
_space_group_IT_number 1
loop_
_space_group_symop_operation_xyz
'x,y,z'
loop_
_atom_site_label
_atom_site_fract_x
_atom_site_fract_y
_atom_site_fract_z
Dy1 0.801 0.602 0.512
Dy2 0.199 0.398 0.012
Sm1 0.481 0.961 0.742
Sm2 0.612 0.225 0.523
Sm3 0.701 0.402 0.208
Sm4 0.984 0.968 0.519
Sm5 0.279 0.558 0.312
Sm6 0.299 0.598 0.708
Sm7 0.519 0.039 0.242
Sm8 0.721 0.442 0.812
Sm9 0.016 0.032 0.019
Sm10 0.388 0.775 0.023
Er1 0.886 0.772 0.813
Er2 0.112 0.224 0.737
Er3 0.888 0.776 0.237
Er4 0.114 0.228 0.313
Y1 0.409 0.819 0.458
Y2 0.591 0.181 0.958

***

# SrCaY2Tc PBE-GGA optimized geometry
# **Crystal system**: tetragonal
# **D(E_F)**: 5.08 states/eV/cell
# **E_form**: 0.155 eV per atom
# **Energy**: -5.24 eV per atom
data_SrCaY2Tc
_chemical_formula_sum 'Sr1 Ca1 Y2 Tc1'
_cell_length_a 5.404
_cell_length_b 5.404
_cell_length_c 5.883
_cell_angle_alpha 90.00
_cell_angle_beta 90.00
_cell_angle_gamma 90.00
_space_group_name_H-M_alt 'P 1'
_space_group_IT_number 1
loop_
_space_group_symop_operation_xyz
'x,y,z'
loop_
_atom_site_label
_atom_site_fract_x
_atom_site_fract_y
_atom_site_fract_z
Sr1 0.500 0.500 0.500
Tc1 0.000 0.000 0.000
Ca1 0.000 0.000 0.500
Y1 0.500 0.000 0.000
Y2 0.000 0.500 0.000